The following is a DFT calculation (PBE) of a relaxed structure of ZrSnAsRh2.

Structure (CIF):
```
data_ZrSnAsRh2
_cell_length_a 4.490
_cell_length_b 4.490
_cell_length_c 5.385
_cell_angle_alpha 90.00
_cell_angle_beta 90.00
_cell_angle_gamma 90.00
_symmetry_space_group_name_H-M 'P 1'
_symmetry_Int_Tables_number 1
loop_
_symmetry_equiv_pos_as_xyz
'x,y,z'
loop_
_atom_site_label
_atom_site_fract_x
_atom_site_fract_y
_atom_site_fract_z
_atom_site_occupancy
Zr1 0.000 0.000 0.000 1
Sn1 0.500 0.500 0.000 1
As1 0.500 0.500 0.500 1
Rh1 0.000 0.500 0.500 1
Rh2 0.500 0.000 0.500 1
```

Calculated values
N(E_F)	1.2155	states/eV/atom
calculated total energy	-30.48	eV per cell
mass density	7.51	g/cm³
E_form	0.29	eV/atom